No. 1
Below is a relaxed structure of Rb3Tl3Pd2, with properties calculated at the PBE level.

Results
magnetization = 0.0 μB/cell
ΔE to the lowest computed polymorph = 0.0 meV per atom
calculated total energy = -85.5 eV per cell
ΔE_f = -0.123 eV per atom

```
data_Rb3Tl3Pd2
_space_group_name_H-M_alt 'C m c m'
_space_group_IT_number 63
_space_group_name_Hall '-C 2c 2'
_cell_length_a 5.013
_cell_length_b 13.154
_cell_length_c 16.979
_cell_angle_alpha 90.00
_cell_angle_beta 90.00
_cell_angle_gamma 90.00
loop_
_atom_site_label
_atom_site_fract_x
_atom_site_fract_y
_atom_site_fract_z
Rb1 0.000 0.065 0.106
Rb2 0.000 0.389 0.250
Tl1 0.000 0.311 0.750
Tl2 0.000 0.337 0.038
Pd1 0.000 0.218 0.604
```

---

No. 2
Below is a relaxed structure of Rb2Tl2Pd3, with properties calculated at the PBE level.

Results
magnetization = 0.0 μB/cell
ΔE to the lowest computed polymorph = 0.0 meV per atom
calculated total energy = -46.5 eV per cell
ΔE_f = -0.141 eV per atom

```
data_Rb2Tl2Pd3
_space_group_name_H-M_alt 'C 1 2/m 1'
_space_group_IT_number 12
_space_group_name_Hall '-C 2y'
_cell_length_a 13.297
_cell_length_b 4.595
_cell_length_c 8.906
_cell_angle_alpha 90.00
_cell_angle_beta 129.02
_cell_angle_gamma 90.00
loop_
_atom_site_label
_atom_site_fract_x
_atom_site_fract_y
_atom_site_fract_z
Rb1 0.176 0.000 0.257
Tl1 0.044 0.500 0.729
Pd1 0.000 0.000 0.500
Pd2 0.197 0.000 0.895
```

---

No. 3
Below is a relaxed structure of RbTl3Pd, with properties calculated at the PBE level.

Results
magnetization = 0.0 μB/cell
ΔE to the lowest computed polymorph = 1220.4 meV per atom
calculated total energy = -7.7 eV per cell
ΔE_f = 1.112 eV per atom

```
data_RbTl3Pd
_space_group_name_H-M_alt 'P m -3 m'
_space_group_IT_number 221
_space_group_name_Hall '-P 4 2 3'
_cell_length_a 6.248
_cell_length_b 6.248
_cell_length_c 6.248
_cell_angle_alpha 90.00
_cell_angle_beta 90.00
_cell_angle_gamma 90.00
loop_
_atom_site_label
_atom_site_fract_x
_atom_site_fract_y
_atom_site_fract_z
Rb1 0.000 0.000 0.000
Tl1 0.000 0.000 0.500
Pd1 0.500 0.500 0.500
```

---

No. 4
Below is a relaxed structure of Rb2Tl4Pd3, with properties calculated at the PBE level.

Results
magnetization = 0.0 μB/cell
calculated total energy = -111.7 eV per cell
ΔE_f = -0.105 eV per atom

```
data_Rb2Tl4Pd3
_space_group_name_H-M_alt 'C m c e'
_space_group_IT_number 64
_space_group_name_Hall '-C 2ac 2'
_cell_length_a 6.151
_cell_length_b 18.081
_cell_length_c 8.830
_cell_angle_alpha 90.00
_cell_angle_beta 90.00
_cell_angle_gamma 90.00
loop_
_atom_site_label
_atom_site_fract_x
_atom_site_fract_y
_atom_site_fract_z
Rb1 0.000 0.102 0.123
Tl1 0.000 0.201 0.485
Tl2 0.250 0.072 0.750
Pd1 0.000 0.000 0.500
Pd2 0.250 0.228 0.750
```

---

No. 5
Below is a relaxed structure of Rb4Tl5Pd, with properties calculated at the PBE level.

Results
magnetization = 0.0 μB/cell
calculated total energy = -43.7 eV per cell
ΔE_f = -0.095 eV per atom

```
data_Rb4Tl5Pd
_space_group_name_H-M_alt 'I 4 m m'
_space_group_IT_number 107
_space_group_name_Hall 'I 4 -2'
_cell_length_a 11.117
_cell_length_b 11.117
_cell_length_c 6.796
_cell_angle_alpha 90.00
_cell_angle_beta 90.00
_cell_angle_gamma 90.00
loop_
_atom_site_label
_atom_site_fract_x
_atom_site_fract_y
_atom_site_fract_z
Rb1 0.000 0.295 0.000
Tl1 0.000 0.000 0.207
Tl2 0.148 0.148 0.536
Pd1 0.000 0.000 0.796
```

---

No. 6
Below is a relaxed structure of RbTl3Pd, with properties calculated at the PBE level.

Results
magnetization = 0.0 μB/cell
ΔE to the lowest computed polymorph = 36.7 meV per atom
calculated total energy = -13.6 eV per cell
ΔE_f = -0.072 eV per atom

```
data_RbTl3Pd
_space_group_name_H-M_alt 'P m -3 m'
_space_group_IT_number 221
_space_group_name_Hall '-P 4 2 3'
_cell_length_a 5.506
_cell_length_b 5.506
_cell_length_c 5.506
_cell_angle_alpha 90.00
_cell_angle_beta 90.00
_cell_angle_gamma 90.00
loop_
_atom_site_label
_atom_site_fract_x
_atom_site_fract_y
_atom_site_fract_z
Rb1 0.000 0.000 0.000
Tl1 0.000 0.500 0.500
Pd1 0.500 0.500 0.500
```

---

No. 7
Below is a relaxed structure of RbTl2Pd, with properties calculated at the PBE level.

Results
magnetization = 0.0 μB/cell
calculated total energy = -91.1 eV per cell
ΔE_f = -0.124 eV per atom

```
data_RbTl2Pd
_space_group_name_H-M_alt 'P n m a'
_space_group_IT_number 62
_space_group_name_Hall '-P 2ac 2n'
_cell_length_a 17.507
_cell_length_b 8.186
_cell_length_c 6.742
_cell_angle_alpha 90.00
_cell_angle_beta 90.00
_cell_angle_gamma 90.00
loop_
_atom_site_label
_atom_site_fract_x
_atom_site_fract_y
_atom_site_fract_z
Rb1 0.103 0.250 0.201
Rb2 0.130 0.750 0.027
Tl1 0.047 0.057 0.704
Tl2 0.212 0.549 0.510
Pd1 0.072 0.750 0.508
Pd2 0.191 0.250 0.744
```

---

No. 8
Below is a relaxed structure of RbTl2Pd, with properties calculated at the PBE level.

Results
magnetization = 0.0 μB/cell
calculated total energy = -43.3 eV per cell
ΔE_f = 0.017 eV per atom

```
data_RbTl2Pd
_space_group_name_H-M_alt 'I -4 2 d'
_space_group_IT_number 122
_space_group_name_Hall 'I -4 2bw'
_cell_length_a 6.217
_cell_length_b 6.217
_cell_length_c 17.361
_cell_angle_alpha 90.00
_cell_angle_beta 90.00
_cell_angle_gamma 90.00
loop_
_atom_site_label
_atom_site_fract_x
_atom_site_fract_y
_atom_site_fract_z
Rb1 0.000 0.000 0.000
Tl1 0.047 0.250 0.625
Pd1 0.000 0.000 0.500
```

---

No. 9
Below is a relaxed structure of Rb2Tl6Pd3, with properties calculated at the PBE level.

Results
magnetization = 0.0 μB/cell
calculated total energy = -32.5 eV per cell
ΔE_f = -0.075 eV per atom

```
data_Rb2Tl6Pd3
_space_group_name_H-M_alt 'P -6 2 m'
_space_group_IT_number 189
_space_group_name_Hall 'P -6 -2'
_cell_length_a 8.7443
_cell_length_b 8.7443
_cell_length_c 4.9700
_cell_angle_alpha 90.00
_cell_angle_beta 90.00
_cell_angle_gamma 120.00
loop_
_atom_site_label
_atom_site_fract_x
_atom_site_fract_y
_atom_site_fract_z
Rb1 0.3333 0.6667 0.0000
Tl1 0.0000 0.2076 0.0000
Tl2 0.0000 0.6758 0.5000
Pd1 0.0000 0.3506 0.5000
```

---

No. 10
Below is a relaxed structure of RbTl10Pd3, with properties calculated at the PBE level.

Results
magnetization = 0.0 μB/cell
calculated total energy = -328.7 eV per cell
ΔE_f = -0.062 eV per atom

```
data_RbTl10Pd3
_space_group_name_H-M_alt 'F m -3 m'
_space_group_IT_number 225
_space_group_name_Hall '-F 4 2 3'
_cell_length_a 14.781
_cell_length_b 14.781
_cell_length_c 14.781
_cell_angle_alpha 90.00
_cell_angle_beta 90.00
_cell_angle_gamma 90.00
loop_
_atom_site_label
_atom_site_fract_x
_atom_site_fract_y
_atom_site_fract_z
Rb1 0.250 0.250 0.250
Tl1 0.000 0.169 0.169
Tl2 0.111 0.111 0.389
Pd1 0.000 0.000 0.265
```

---

No. 11
Below is a relaxed structure of Rb2TlPd, with properties calculated at the PBE level.

Results
magnetization = 0.0 μB/cell
ΔE to the lowest computed polymorph = 340.4 meV per atom
calculated total energy = -34.1 eV per cell
ΔE_f = 0.241 eV per atom

```
data_Rb2TlPd
_space_group_name_H-M_alt 'F m -3 m'
_space_group_IT_number 225
_space_group_name_Hall '-F 4 2 3'
_cell_length_a 8.447
_cell_length_b 8.447
_cell_length_c 8.447
_cell_angle_alpha 90.00
_cell_angle_beta 90.00
_cell_angle_gamma 90.00
loop_
_atom_site_label
_atom_site_fract_x
_atom_site_fract_y
_atom_site_fract_z
Rb1 0.250 0.250 0.250
Tl1 0.000 0.000 0.000
Pd1 0.000 0.000 0.500
```

---

No. 12
Below is a relaxed structure of RbTl8Pd2, with properties calculated at the PBE level.

Results
magnetization = 0.0 μB/cell
ΔE to the lowest computed polymorph = 54.0 meV per atom
calculated total energy = -30.2 eV per cell
ΔE_f = 0.005 eV per atom

```
data_RbTl8Pd2
_space_group_name_H-M_alt 'P 4/m m m'
_space_group_IT_number 123
_space_group_name_Hall '-P 4 2'
_cell_length_a 6.609
_cell_length_b 6.609
_cell_length_c 9.625
_cell_angle_alpha 90.00
_cell_angle_beta 90.00
_cell_angle_gamma 90.00
loop_
_atom_site_label
_atom_site_fract_x
_atom_site_fract_y
_atom_site_fract_z
Rb1 0.000 0.000 0.000
Tl1 0.252 0.252 0.320
Pd1 0.000 0.500 0.500
```

---

No. 13
Below is a relaxed structure of RbTl2Pd, with properties calculated at the PBE level.

Results
magnetization = 0.0 μB/cell
calculated total energy = -41.6 eV per cell
ΔE_f = 0.126 eV per atom

```
data_RbTl2Pd
_space_group_name_H-M_alt 'F m -3 m'
_space_group_IT_number 225
_space_group_name_Hall '-F 4 2 3'
_cell_length_a 7.649
_cell_length_b 7.649
_cell_length_c 7.649
_cell_angle_alpha 90.00
_cell_angle_beta 90.00
_cell_angle_gamma 90.00
loop_
_atom_site_label
_atom_site_fract_x
_atom_site_fract_y
_atom_site_fract_z
Rb1 0.000 0.000 0.000
Tl1 0.250 0.250 0.250
Pd1 0.000 0.000 0.500
```

---

No. 14
Below is a relaxed structure of Rb4Tl4Pd, with properties calculated at the PBE level.

Results
magnetization = 0.0 μB/cell
calculated total energy = -38.2 eV per cell
ΔE_f = -0.064 eV per atom

```
data_Rb4Tl4Pd
_space_group_name_H-M_alt 'I -4 2 m'
_space_group_IT_number 121
_space_group_name_Hall 'I -4 2'
_cell_length_a 6.521
_cell_length_b 6.521
_cell_length_c 18.936
_cell_angle_alpha 90.00
_cell_angle_beta 90.00
_cell_angle_gamma 90.00
loop_
_atom_site_label
_atom_site_fract_x
_atom_site_fract_y
_atom_site_fract_z
Rb1 0.233 0.233 0.154
Tl1 0.221 0.221 0.448
Pd1 0.000 0.000 0.000
```

---

No. 15
Below is a relaxed structure of Rb3Tl5Pd6, with properties calculated at the PBE level.

Results
magnetization = 0.0 μB/cell
calculated total energy = -96.1 eV per cell
ΔE_f = -0.155 eV per atom

```
data_Rb3Tl5Pd6
_space_group_name_H-M_alt 'I m m m'
_space_group_IT_number 71
_space_group_name_Hall '-I 2 2'
_cell_length_a 4.776
_cell_length_b 11.634
_cell_length_c 13.428
_cell_angle_alpha 90.00
_cell_angle_beta 90.00
_cell_angle_gamma 90.00
loop_
_atom_site_label
_atom_site_fract_x
_atom_site_fract_y
_atom_site_fract_z
Rb1 0.000 0.000 0.000
Rb2 0.000 0.000 0.288
Tl1 0.000 0.307 0.327
Tl2 0.000 0.500 0.000
Pd1 0.000 0.155 0.500
Pd2 0.000 0.289 0.106
```

---

No. 16
Below is a relaxed structure of Rb2Tl2Pd3, with properties calculated at the PBE level.

Results
magnetization = 0.0 μB/cell
ΔE to the lowest computed polymorph = 57.0 meV per atom
calculated total energy = -45.7 eV per cell
ΔE_f = -0.084 eV per atom

```
data_Rb2Tl2Pd3
_space_group_name_H-M_alt 'C 1 2/m 1'
_space_group_IT_number 12
_space_group_name_Hall '-C 2y'
_cell_length_a 12.586
_cell_length_b 4.752
_cell_length_c 7.685
_cell_angle_alpha 90.00
_cell_angle_beta 125.91
_cell_angle_gamma 90.00
loop_
_atom_site_label
_atom_site_fract_x
_atom_site_fract_y
_atom_site_fract_z
Rb1 0.169 0.000 0.296
Tl1 0.139 0.000 0.781
Pd1 0.000 0.500 0.500
Pd2 0.075 0.500 0.918
```

---

No. 17
Below is a relaxed structure of RbTl2Pd, with properties calculated at the PBE level.

Results
magnetization = 0.0 μB/cell
calculated total energy = -34.0 eV per cell
ΔE_f = -0.108 eV per atom

```
data_RbTl2Pd
_space_group_name_H-M_alt 'R 3 m'
_space_group_IT_number 160
_space_group_name_Hall 'R 3 -2"'
_cell_length_a 4.8930
_cell_length_b 4.8930
_cell_length_c 19.3576
_cell_angle_alpha 90.00
_cell_angle_beta 90.00
_cell_angle_gamma 120.00
loop_
_atom_site_label
_atom_site_fract_x
_atom_site_fract_y
_atom_site_fract_z
Rb1 0.0000 0.0000 0.0000
Tl1 0.0000 0.0000 0.2007
Tl2 0.0000 0.0000 0.4616
Pd1 0.0000 0.0000 0.8137
```

---

No. 18
Below is a relaxed structure of Rb3Tl4Pd2, with properties calculated at the PBE level.

Results
magnetization = 0.0 μB/cell
ΔE to the lowest computed polymorph = 29.5 meV per atom
calculated total energy = -47.2 eV per cell
ΔE_f = -0.096 eV per atom

```
data_Rb3Tl4Pd2
_space_group_name_H-M_alt 'C 1 2/m 1'
_space_group_IT_number 12
_space_group_name_Hall '-C 2y'
_cell_length_a 13.817
_cell_length_b 4.724
_cell_length_c 10.319
_cell_angle_alpha 90.00
_cell_angle_beta 106.87
_cell_angle_gamma 90.00
loop_
_atom_site_label
_atom_site_fract_x
_atom_site_fract_y
_atom_site_fract_z
Rb1 0.000 0.000 0.000
Rb2 0.124 0.500 0.384
Tl1 0.089 0.000 0.654
Tl2 0.221 0.500 0.086
Pd1 0.166 0.500 0.792
```

---

No. 19
Below is a relaxed structure of RbTl4Pd2, with properties calculated at the PBE level.

Results
magnetization = 0.0 μB/cell
ΔE to the lowest computed polymorph = 0.0 meV per atom
calculated total energy = -42.4 eV per cell
ΔE_f = -0.057 eV per atom

```
data_RbTl4Pd2
_space_group_name_H-M_alt 'C m m m'
_space_group_IT_number 65
_space_group_name_Hall '-C 2 2'
_cell_length_a 5.075
_cell_length_b 15.661
_cell_length_c 4.969
_cell_angle_alpha 90.00
_cell_angle_beta 90.00
_cell_angle_gamma 90.00
loop_
_atom_site_label
_atom_site_fract_x
_atom_site_fract_y
_atom_site_fract_z
Rb1 0.000 0.000 0.000
Tl1 0.000 0.170 0.500
Tl2 0.000 0.326 0.000
Pd1 0.000 0.413 0.500
```

---

No. 20
Below is a relaxed structure of Rb3Tl5Pd2, with properties calculated at the PBE level.

Results
magnetization = 0.0 μB/cell
calculated total energy = -103.7 eV per cell
ΔE_f = -0.081 eV per atom

```
data_Rb3Tl5Pd2
_space_group_name_H-M_alt 'I b a m'
_space_group_IT_number 72
_space_group_name_Hall '-I 2 2c'
_cell_length_a 11.446
_cell_length_b 15.282
_cell_length_c 7.965
_cell_angle_alpha 90.00
_cell_angle_beta 90.00
_cell_angle_gamma 90.00
loop_
_atom_site_label
_atom_site_fract_x
_atom_site_fract_y
_atom_site_fract_z
Rb1 0.000 0.000 0.250
Rb2 0.249 0.359 0.000
Tl1 0.000 0.260 0.250
Tl2 0.000 0.500 0.250
Tl3 0.167 0.392 0.500
Pd1 0.108 0.166 0.000
```